A relaxed LiLa2NiHg crystal. Source: Alexandria via LeMat-Bulk, functional GGA-PBE.

Summary:
M_tot = 0.0 μB per formula unit
Total energy = -0.2771 Ry per atom
Energy of formation from the pure elements = -200 meV per atom
D(E_F) = 5.9 states/eV/cell
Offset from the most stable computed form = 0.00 eV/f.u.

Unit cell a=5.3775 b=5.3775 c=4.7166 alpha=90.00 beta=90.00 gamma=90.00
Fractional positions:
Ni  0.0000  0.0000  0.0000
Li  0.0000  0.0000  0.5000
Hg  0.5000  0.5000  0.5000
La  0.0000  0.5000  0.0000
La  0.5000  0.0000  0.0000

A relaxed Li2LaHgO crystal. Source: Alexandria via LeMat-Bulk, functional GGA-PBE.

Summary:
M_tot = 0.5 μB per formula unit
Total energy = -0.2902 Ry per atom
E_form (uncorrected) = -5.73 eV per formula unit
D(E_F) = 4.2 states/eV/cell

Unit cell a=4.6192 b=4.6192 c=4.6836 alpha=90.00 beta=90.00 gamma=90.00
Each line ends with the local moment (μB).
Fractional positions:
Li  0.0000  0.5000  0.0000  0.01
Li  0.5000  0.0000  0.0000  0.01
Hg  0.5000  0.5000  0.5000  0.05
O  0.0000  0.0000  0.0000  0.00
La  0.0000  0.0000  0.5000  0.12

A relaxed LiLa2HgO crystal. Source: Alexandria via LeMat-Bulk, functional GGA-PBE.

Summary:
M_tot = 0.0 μB per formula unit
Total energy = -0.3482 Ry per atom
E_form (uncorrected) = -6.66 eV per formula unit
D(E_F) = 3.9 states/eV/cell

Unit cell a=5.0972 b=5.0972 c=4.3061 alpha=90.00 beta=90.00 gamma=90.00
Fractional positions:
Li  0.0000  0.0000  0.5000
Hg  0.5000  0.5000  0.5000
O  0.0000  0.0000  0.0000
La  0.0000  0.5000  0.0000
La  0.5000  0.0000  0.0000